1.
VASP calculation (PBE) on a geometry-optimized SmEr2Cu structure.

Summary:
Spin magnetization: 0.00 μB per formula unit
Density of states at the Fermi level: 5.46 states/eV/f.u.
Space group: P2_1/m

Unit cell a=4.9070 b=6.3210 c=7.4798 alpha=90.00 beta=90.00 gamma=112.90
Closest atoms and distances in Å follow each position.
Fractional positions:
Cu (0.7982, 0.5971, 0.7500)  6 Er 2.73-3.01, 1 Sm 2.89
Er (0.3505, 0.7011, 0.5317)  3 Cu 2.73-3.01
Sm (0.9533, 0.9066, 0.2500)  1 Cu 2.89
Cu (0.2018, 0.4029, 0.2500)  6 Er 2.73-3.01, 1 Sm 2.89
Er (0.6495, 0.2989, 0.0317)  3 Cu 2.73-3.01
Er (0.6495, 0.2989, 0.4683)  3 Cu 2.73-3.01
Er (0.3505, 0.7011, 0.9683)  3 Cu 2.73-3.01
Sm (0.0467, 0.0934, 0.7500)  1 Cu 2.89

---

2.
VASP calculation (PBE) on a geometry-optimized SmEr2Cu structure.

Summary:
Spin magnetization: 0.00 μB per formula unit
Density of states at the Fermi level: 5.66 states/eV/f.u.
Space group: R-3m

Unit cell a=3.5965 b=3.5965 c=10.0518 alpha=79.69 beta=79.69 gamma=60.00
Closest atoms and distances in Å follow each position.
Fractional positions:
Sm (0.5000, 0.5000, 0.5000)  6 Sm 3.60, 6 Er 3.61
Er (0.2668, 0.2668, 0.1997)  3 Cu 2.86
Er (0.7332, 0.7332, 0.8003)  3 Cu 2.86
Cu (0.0000, 0.0000, 0.0000)  6 Er 2.86

---

3.
VASP calculation (PBE) on a geometry-optimized SmEr2Cu structure.

Summary:
Spin magnetization: 0.00 μB per formula unit
Density of states at the Fermi level: 5.06 states/eV/f.u.
Space group: Pnma

Unit cell a=6.4585 b=6.7978 c=9.7830 alpha=90.00 beta=90.00 gamma=90.00
Closest atoms and distances in Å follow each position.
Fractional positions:
Er (0.1807, 0.6832, 0.4420)  2 Cu 2.81-2.88
Er (0.1807, 0.6832, 0.0580)  2 Cu 2.81-2.88
Sm (0.8668, 0.0095, 0.2500)  2 Cu 2.90-2.92
Cu (0.9345, 0.6039, 0.7500)  4 Er 2.81-2.88, 2 Sm 2.90-2.92
Er (0.6807, 0.8168, 0.9420)  2 Cu 2.81-2.88
Cu (0.5655, 0.1039, 0.7500)  4 Er 2.81-2.88, 2 Sm 2.90-2.92
Sm (0.1332, 0.9905, 0.7500)  2 Cu 2.90-2.92
Er (0.8193, 0.3168, 0.9420)  2 Cu 2.81-2.88
Cu (0.4345, 0.8961, 0.2500)  4 Er 2.81-2.88, 2 Sm 2.90-2.92
Sm (0.6332, 0.5095, 0.2500)  2 Cu 2.90-2.92
Er (0.8193, 0.3168, 0.5580)  2 Cu 2.81-2.88
Er (0.6807, 0.8168, 0.5580)  2 Cu 2.81-2.88
Er (0.3193, 0.1832, 0.0580)  2 Cu 2.81-2.88
Sm (0.3668, 0.4905, 0.7500)  2 Cu 2.90-2.92
Er (0.3193, 0.1832, 0.4420)  2 Cu 2.81-2.88
Cu (0.0655, 0.3961, 0.2500)  4 Er 2.81-2.88, 2 Sm 2.90-2.92

---

Tell me which of them is the least stable. Sure, it is 2.

---

1.
VASP calculation (PBE) on a geometry-optimized SmEr2Cu structure.

Summary:
Spin magnetization: 0.00 μB per formula unit
Density of states at the Fermi level: 5.02 states/eV/f.u.
Space group: R3m

Unit cell a=3.6508 b=3.6508 c=9.8677 alpha=79.34 beta=79.34 gamma=60.00
Closest atoms and distances in Å follow each position.
Fractional positions:
Cu (0.6659, 0.6659, 0.0023)  6 Er 2.83-2.85
Er (0.2675, 0.2675, 0.1976)  3 Cu 2.83
Sm (0.5010, 0.5010, 0.4969)  6 Er 3.57-3.63, 6 Sm 3.65
Er (0.0656, 0.0656, 0.8032)  3 Cu 2.85

---

2.
VASP calculation (PBE) on a geometry-optimized SmEr2Cu structure.

Summary:
Spin magnetization: 0.00 μB per formula unit
Density of states at the Fermi level: 4.46 states/eV/f.u.
Space group: P4/mmm

Unit cell a=3.4770 b=3.4770 c=8.6833 alpha=90.00 beta=90.00 gamma=90.00
Closest atoms and distances in Å follow each position.
Fractional positions:
Er (0.0000, 0.0000, 0.8065)  4 Cu 2.98
Cu (0.5000, 0.5000, 0.0000)  8 Er 2.98
Sm (0.5000, 0.5000, 0.5000)  4 Sm 3.48, 8 Er 3.62
Er (0.0000, 0.0000, 0.1935)  4 Cu 2.98

---

Tell me which of them is the least stable. Sure, it is 1.